Entry 1:
A plane-wave DFT calculation with PBE was carried out for a relaxed Nb2SiTe4 crystal.

Output
ΔE_f (raw)   -0.51 eV per atom
Mass density   6.20 g cm⁻³
Distance to the lowest polymorph of the same formula   0.00 kcal/mol of atoms
DOS(E_F)   0.9 states/eV per cell

Lattice parameters (Å, degrees): 6.4003 7.9668 15.8272 90.00 105.98 90.00
With the nearest neighbours (Å) after each atom.
Space group P2_1/c (No. 14)
Symmetry-distinct sites (fractional):
Nb  0.1457  0.0372  0.2500 x4  2 Si 2.77-2.84, 6 Te 2.85-2.97, 1 Nb 2.92
Nb  0.3544  0.7118  0.2500 x4  2 Si 2.77-2.85, 6 Te 2.85-2.97, 1 Nb 2.92
Si  0.2500  0.1255  0.7501 x4  4 Te 2.74, 4 Nb 2.77-2.85
Te  0.0559  0.2341  0.8743 x4  1 Si 2.74, 3 Nb 2.85-2.97
Te  0.1130  0.7337  0.8743 x4  1 Si 2.74, 3 Nb 2.85-2.97
Te  0.3869  0.5173  0.6257 x4  1 Si 2.74, 3 Nb 2.85-2.97
Te  0.4438  0.0170  0.6257 x4  1 Si 2.74, 3 Nb 2.85-2.97


Entry 2:
A plane-wave DFT calculation with PBE was carried out for a relaxed Nb2SiTe4 crystal.

Output
ΔE_f (raw)   -0.46 eV per atom
Mass density   6.16 g cm⁻³
Distance to the lowest polymorph of the same formula   0.97 kcal/mol of atoms
DOS(E_F)   1.6 states/eV per cell

Lattice parameters (Å, degrees): 3.5497 6.9870 8.1582 74.98 88.04 89.98
With the nearest neighbours (Å) after each atom.
Space group P-1 (No. 2)
Symmetry-distinct sites (fractional):
Nb  0.9999  0.2054  0.0000 x2  2 Si 2.72, 1 Nb 2.87, 6 Te 2.90-2.94
Si  0.5000  0.5000  0.0000 x1  4 Nb 2.72, 4 Te 2.75
Te  0.0212  0.5807  0.7328 x2  2 Si 2.75, 2 Nb 2.94
Te  0.4820  0.9311  0.2272 x2  4 Nb 2.90


Entry 3:
A plane-wave DFT calculation with PBE was carried out for a relaxed Nb2SiTe4 crystal.

Output
ΔE_f (raw)   -0.51 eV per atom
Mass density   6.21 g cm⁻³
Distance to the lowest polymorph of the same formula   0.00 kcal/mol of atoms
DOS(E_F)   0.4 states/eV per cell

Lattice parameters (Å, degrees): 6.3995 7.9088 7.9667 75.58 90.00 82.85
With the nearest neighbours (Å) after each atom.
Space group P-1 (No. 2)
Symmetry-distinct sites (fractional):
Nb  0.1044  0.0001  0.1627 x2  2 Si 2.77-2.84, 6 Te 2.85-2.97, 1 Nb 2.92
Nb  0.3957  0.0000  0.6627 x2  2 Si 2.77-2.84, 6 Te 2.85-2.97, 1 Nb 2.92
Si  0.0000  0.0000  0.5000 x1  4 Te 2.74, 4 Nb 2.77-2.84
Si  0.5000  0.0000  0.0000 x1  4 Te 2.74, 4 Nb 2.77-2.84
Te  0.1831  0.2490  0.8298 x2  1 Si 2.74, 3 Nb 2.85-2.97
Te  0.2402  0.2490  0.3302 x2  1 Si 2.74, 3 Nb 2.85-2.97
Te  0.2598  0.7511  0.9533 x2  1 Si 2.74, 3 Nb 2.85-2.97
Te  0.3167  0.7510  0.4530 x2  1 Si 2.74, 3 Nb 2.85-2.97


Entry 4:
A plane-wave DFT calculation with PBE was carried out for a relaxed NbSiTe2 crystal.

Output
ΔE_f (raw)   0.14 eV per atom
Mass density   6.01 g cm⁻³
DOS(E_F)   8.0 states/eV per cell

Lattice parameters (Å, degrees): 3.5382 3.5382 28.7789 90.00 90.00 120.00
With the nearest neighbours (Å) after each atom.
Space group R-3m (No. 166, hexagonal axes)
Symmetry-distinct sites (fractional):
Nb  0.0000  0.0000  0.0000 x3  6 Te 2.80
Si  0.0000  0.0000  0.5000 x3  2 Te 2.89
Te  0.0000  0.0000  0.3997 x6  3 Nb 2.80, 1 Si 2.89


Entry 5:
A plane-wave DFT calculation with PBE was carried out for a relaxed Nb2SiTe4 crystal.

Output
ΔE_f (raw)   -0.30 eV per atom
Mass density   6.16 g cm⁻³
Distance to the lowest polymorph of the same formula   4.73 kcal/mol of atoms
DOS(E_F)   2.0 states/eV per cell

Lattice parameters (Å, degrees): 6.6062 6.9610 8.8709 94.77 106.08 90.04
With the nearest neighbours (Å) after each atom.
Space group P-1 (No. 2)
Symmetry-distinct sites (fractional):
Nb  0.2182  0.2409  0.4145 x2  2 Si 2.51
Nb  0.2811  0.7583  0.5848 x2  2 Si 2.50-2.51
Si  0.0000  0.0000  0.5000 x1  4 Nb 2.51
Si  0.5000  0.5000  0.5000 x1  4 Nb 2.50-2.51
Te  0.0669  0.4113  0.6796 x2  4 Nb 2.95-3.09, 1 Si 3.13
Te  0.1241  0.9316  0.8303 x2  2 Nb 2.84-2.85, 1 Si 2.90
Te  0.3776  0.3605  0.1699 x2  2 Nb 2.84, 1 Si 2.90
Te  0.4340  0.8700  0.3207 x2  4 Nb 2.95-3.11, 1 Si 3.11


Entry 6:
A plane-wave DFT calculation with PBE was carried out for a relaxed NbSiTe2 crystal.

Output
ΔE_f (raw)   0.51 eV per atom
Mass density   4.92 g cm⁻³
DOS(E_F)   11.6 states/eV per cell

Lattice parameters (Å, degrees): 6.4766 6.4766 12.1055 90.00 90.00 90.00
With the nearest neighbours (Å) after each atom.
Space group I-42d (No. 122)
Symmetry-distinct sites (fractional):
Nb  0.0000  0.0000  0.0000 x4  4 Te 2.73
Si  0.0000  0.0000  0.5000 x4  4 Te 2.76
Te  0.2472  0.2500  0.1250 x8  2 Nb 2.73, 2 Si 2.76


Entry 7:
A plane-wave DFT calculation with PBE was carried out for a relaxed Nb3SiTe crystal.

Output
ΔE_f (raw)   0.62 eV per atom
Mass density   6.85 g cm⁻³
Distance to the lowest polymorph of the same formula   0.00 kcal/mol of atoms
DOS(E_F)   6.7 states/eV per cell

Lattice parameters (Å, degrees): 4.7212 4.7212 4.7212 90.00 90.00 90.00
With the nearest neighbours (Å) after each atom.
Space group Pm-3m (No. 221)
Symmetry-distinct sites (fractional):
Nb  0.0000  0.0000  0.5000 x3  2 Si 2.36
Si  0.0000  0.0000  0.0000 x1  6 Nb 2.36
Te  0.5000  0.5000  0.5000 x1  12 Nb 3.34


Entry 8:
A plane-wave DFT calculation with PBE was carried out for a relaxed Nb2SiTe4 crystal.

Output
ΔE_f (raw)   -0.24 eV per atom
Mass density   6.76 g cm⁻³
Distance to the lowest polymorph of the same formula   6.10 kcal/mol of atoms
DOS(E_F)   7.3 states/eV per cell

Lattice parameters (Å, degrees): 15.3240 3.6871 6.7303 90.00 110.55 90.00
With the nearest neighbours (Å) after each atom.
Space group C2/m (No. 12)
Symmetry-distinct sites (fractional):
Nb  0.2409  0.0000  0.1697 x4  6 Te 2.76-3.02, 2 Nb 3.02
Si  0.0000  0.5000  0.5000 x2  6 Te 2.90-2.92
Te  0.1046  0.5000  0.9521 x4  3 Nb 2.76-2.79, 1 Si 2.90
Te  0.1469  0.0000  0.4955 x4  2 Si 2.92, 3 Nb 2.95-3.02


Entry 9:
A plane-wave DFT calculation with PBE was carried out for a relaxed Nb3SiTe6 crystal.

Output
ΔE_f (raw)   -0.49 eV per atom
Mass density   6.48 g cm⁻³
DOS(E_F)   19.9 states/eV per cell

Lattice parameters (Å, degrees): 6.4149 14.7365 11.6299 90.00 90.00 90.00
With the nearest neighbours (Å) after each atom.
Space group Pnma (No. 62)
Symmetry-distinct sites (fractional):
Nb  0.0314  0.2500  0.1882 x4  6 Te 2.84-2.96, 2 Si 2.84-2.85, 1 Nb 2.97
Nb  0.1677  0.7500  0.3358 x4  6 Te 2.81-2.89, 1 Si 2.84
Nb  0.1973  0.7500  0.0338 x4  1 Si 2.73, 6 Te 2.76-2.95, 1 Nb 2.97
Si  0.0755  0.7500  0.5746 x4  4 Te 2.71-2.76, 4 Nb 2.73-2.85
Te  0.1439  0.1262  0.9980 x8  1 Si 2.71, 3 Nb 2.87-2.96
Te  0.1507  0.1202  0.6831 x8  3 Nb 2.76-2.86
Te  0.2038  0.1229  0.3451 x8  1 Si 2.76, 3 Nb 2.84-2.95


Entry 10:
A plane-wave DFT calculation with PBE was carried out for a relaxed Nb2SiTe4 crystal.

Output
ΔE_f (raw)   -0.23 eV per atom
Mass density   5.81 g cm⁻³
Distance to the lowest polymorph of the same formula   6.31 kcal/mol of atoms
DOS(E_F)   3.4 states/eV per cell

Lattice parameters (Å, degrees): 4.4698 6.4788 7.5326 97.15 106.51 91.72
With the nearest neighbours (Å) after each atom.
Space group P-1 (No. 2)
Symmetry-distinct sites (fractional):
Nb  0.2465  0.1293  0.9997 x2  1 Si 2.67, 2 Nb 2.73-2.86, 6 Te 2.88-2.98
Si  0.0000  0.5000  0.0000 x1  2 Nb 2.67, 4 Te 2.76
Te  0.1428  0.7350  0.7500 x2  1 Si 2.76, 3 Nb 2.88-2.98
Te  0.3849  0.8124  0.2502 x2  1 Si 2.76, 3 Nb 2.88-2.98


Entry 11:
A plane-wave DFT calculation with PBE was carried out for a relaxed Nb3SiTe crystal.

Output
ΔE_f (raw)   1.58 eV per atom
Mass density   5.78 g cm⁻³
Distance to the lowest polymorph of the same formula   22.11 kcal/mol of atoms
DOS(E_F)   7.7 states/eV per cell

Lattice parameters (Å, degrees): 4.9976 4.9976 4.9976 90.00 90.00 90.00
With the nearest neighbours (Å) after each atom.
Space group Pm-3m (No. 221)
Symmetry-distinct sites (fractional):
Nb  0.0000  0.0000  0.5000 x3  2 Te 2.50
Si  0.5000  0.5000  0.5000 x1  12 Nb 3.53
Te  0.0000  0.0000  0.0000 x1  6 Nb 2.50


Entry 12:
A plane-wave DFT calculation with PBE was carried out for a relaxed Nb2SiTeW crystal.

Output
ΔE_f (raw)   1.49 eV per atom
Mass density   8.13 g cm⁻³
DOS(E_F)   6.2 states/eV per cell

Lattice parameters (Å, degrees): 4.6609 4.6609 4.9395 90.00 90.00 90.00
With the nearest neighbours (Å) after each atom.
Space group P4/mmm (No. 123)
Symmetry-distinct sites (fractional):
Nb  0.0000  0.5000  0.0000 x2  2 Si 2.33
Si  0.0000  0.0000  0.0000 x1  4 Nb 2.33, 2 Te 2.47
Te  0.0000  0.0000  0.5000 x1  2 Si 2.47
W  0.5000  0.5000  0.5000 x1  4 Te 3.30, 8 Nb 3.40


What is the DOS(E_F) in the twelfth record?
6.2 states/eV per cell


What did the eighth record say?
A plane-wave DFT calculation with PBE was carried out for a relaxed Nb2SiTe4 crystal.

Output
ΔE_f (raw)   -0.24 eV per atom
Mass density   6.76 g cm⁻³
Distance to the lowest polymorph of the same formula   6.10 kcal/mol of atoms
DOS(E_F)   7.3 states/eV per cell

Lattice parameters (Å, degrees): 15.3240 3.6871 6.7303 90.00 110.55 90.00
With the nearest neighbours (Å) after each atom.
Space group C2/m (No. 12)
Symmetry-distinct sites (fractional):
Nb  0.2409  0.0000  0.1697 x4  6 Te 2.76-3.02, 2 Nb 3.02
Si  0.0000  0.5000  0.5000 x2  6 Te 2.90-2.92
Te  0.1046  0.5000  0.9521 x4  3 Nb 2.76-2.79, 1 Si 2.90
Te  0.1469  0.0000  0.4955 x4  2 Si 2.92, 3 Nb 2.95-3.02